VASP calculation (PBE+U) on a relaxed CsTcWO6 crystal.

Calculated values
Final energy, eV per atom: -7.0776
Symmetry: C2, No. 5

```
data_CsTcWO6
_cell_length_a 5.4314
_cell_length_b 5.4314
_cell_length_c 6.7031
_cell_angle_alpha 90.84
_cell_angle_beta 90.84
_cell_angle_gamma 122.60
_symmetry_space_group_name_H-M 'P 1'
_symmetry_Int_Tables_number 1
loop_
_symmetry_equiv_pos_as_xyz
'x,y,z'
loop_
_atom_site_label
_atom_site_type_symbol
_atom_site_fract_x
_atom_site_fract_y
_atom_site_fract_z
Cs1 Cs 0.0000 0.0000 0.0000
Tc1 Tc 0.6588 0.3412 0.5000
W1 W 0.3365 0.6635 0.5000
O1 O 0.0021 0.5847 0.6685
O2 O 0.0028 0.4116 0.3299
O3 O 0.3890 0.3937 0.6601
O4 O 0.4153 0.9979 0.3315
O5 O 0.5884 0.9972 0.6701
O6 O 0.6063 0.6110 0.3399
```